Entry 1:
The following is a DFT calculation (PBE-GGA) of crystalline AcPmAgAu at its relaxed geometry.

Output
As for the crystal system: cubic. The formation energy is -491 meV/atom.

Lattice parameters (Å, degrees): 5.4127 5.4127 5.4127 60.00 60.00 60.00
Closest atoms and distances in Å follow each position.
Positions (direct):
Ag  0.2500  0.2500  0.2500  4 Pm 3.31, 4 Ac 3.31
Au  0.7500  0.7500  0.7500  4 Pm 3.31, 4 Ac 3.31
Pm  0.5000  0.5000  0.5000  4 Au 3.31, 4 Ag 3.31
Ac  0.0000  0.0000  0.0000  4 Ag 3.31, 4 Au 3.31

---

Entry 2:
The following is a DFT calculation (PBE-GGA) of crystalline Ba2MgGe2 at its relaxed geometry.

Output
As for the crystal system: tetragonal. The formation energy is -388 meV/atom.

Lattice parameters (Å, degrees): 7.8254 7.8254 5.1854 90.00 90.00 90.00
Closest atoms and distances in Å follow each position.
Positions (direct):
Ge  0.8823  0.6177  0.0000  1 Ge 2.60
Ge  0.3823  0.8823  0.0000  1 Ge 2.60
Ge  0.1177  0.3823  0.0000  1 Ge 2.60
Ge  0.6177  0.1177  0.0000  1 Ge 2.60
Ba  0.8270  0.3270  0.5000  6 Ge 3.48, 1 Ba 3.83, 4 Mg 3.89
Ba  0.1730  0.6730  0.5000  6 Ge 3.48, 1 Ba 3.83, 4 Mg 3.89
Ba  0.3270  0.1730  0.5000  6 Ge 3.48, 1 Ba 3.83, 4 Mg 3.89
Ba  0.6730  0.8270  0.5000  6 Ge 3.48, 1 Ba 3.83, 4 Mg 3.89
Mg  0.0000  0.0000  0.0000  4 Ge 3.13
Mg  0.5000  0.5000  0.0000  4 Ge 3.13

---

Entry 3:
The following is a DFT calculation (PBE-GGA) of crystalline BaLaPa4N8 at its relaxed geometry.

Output
As for the crystal system: trigonal.

Lattice parameters (Å, degrees): 7.1427 7.1427 7.1917 60.23 60.23 60.00
Closest atoms and distances in Å follow each position.
Positions (direct):
Ba  0.3779  0.3779  0.8662  4 N 2.64-2.71
Pa  0.0030  0.0030  0.5024  5 N 2.20-2.44
Pa  0.6190  0.6190  0.1431  4 N 2.26-2.48
Pa  0.0030  0.4916  0.5024  5 N 2.20-2.44
Pa  0.4916  0.0030  0.5024  5 N 2.20-2.44
N  0.2372  0.2372  0.6970  2 Pa 2.20, 1 La 2.44
N  0.7593  0.7593  0.7222  4 Pa 2.47-2.48
N  0.2327  0.7425  0.2824  3 Pa 2.26-2.44
N  0.2372  0.8287  0.6970  2 Pa 2.20, 1 La 2.44
N  0.7425  0.2327  0.2824  3 Pa 2.26-2.44
N  0.7425  0.7425  0.2824  3 Pa 2.26-2.44
N  0.2247  0.2247  0.3260  3 Pa 2.27
N  0.8287  0.2372  0.6970  2 Pa 2.20, 1 La 2.44
La  0.0009  0.0009  0.9973  6 N 2.44-2.63

---

Entry 4:
The following is a DFT calculation (PBE-GGA) of crystalline Tc4Se3 at its relaxed geometry.

Output
As for the crystal system: hexagonal.

Lattice parameters (Å, degrees): 5.3629 5.3629 4.6542 90.00 90.00 120.00
Closest atoms and distances in Å follow each position.
Positions (direct):
Tc  0.3333  0.6667  0.5000  6 Se 2.79-2.80, 3 Tc 3.10
Tc  0.6667  0.3333  0.5000  6 Se 2.79-2.80, 3 Tc 3.10
Tc  0.0000  0.0000  0.2634  2 Tc 2.20-2.45
Tc  0.0000  0.0000  0.7366  2 Tc 2.20-2.45
Se  0.0000  0.5000  0.0000  4 Se 2.68, 8 Tc 2.79-2.95
Se  0.5000  0.5000  0.0000  4 Se 2.68, 8 Tc 2.80-2.95
Se  0.5000  0.0000  0.0000  4 Se 2.68, 8 Tc 2.79-2.95

---

Number 1: VASP energy -4.2375 eV per atom. Number 2: VASP energy -3.3226 eV per atom. Number 3: VASP energy -9.3973 eV per atom. Number 4: VASP energy -6.3663 eV per atom.